VASP calculation (PBE) on a relaxed structure of Tl2BH5.

a = 5.1077 Å, b = 5.4076 Å, c = 6.0430 Å
α = 85.18°, β = 71.28°, γ = 62.55°
With the nearest neighbours (Å) after each atom.
Positions (direct):
Tl 0.0000 0.0000 0.0000  1 H 2.05
Tl 0.0026 0.6052 0.5392  1 H 2.13
B 0.6039 0.6405 0.1903  4 H 1.23-1.24
H 0.4938 0.6973 0.4037  1 B 1.23
H 0.4991 0.5012 0.1285  1 B 1.24
H 0.5381 0.8573 0.0863  1 B 1.24
H 0.8790 0.9752 0.3568  2 Tl 2.05-2.13
H 0.8915 0.5035 0.1345  1 B 1.24

Properties
DOS(E_F) (states/eV per atom): 0.00
Total energy (eV per atom): -3.477
SG: P1, No. 1

VASP calculation (PBE) on a relaxed structure of TlBHW2.

a = 5.3684 Å, b = 5.3684 Å, c = 4.0833 Å
α = 90.00°, β = 90.00°, γ = 90.00°
With the nearest neighbours (Å) after each atom.
Positions (direct):
Tl 0.0000 0.0000 0.0000  2 B 2.04
B 0.0000 0.0000 0.5000  2 Tl 2.04
H 0.5000 0.5000 0.5000  8 W 3.37
W 0.0000 0.5000 0.0000  2 Tl 2.68
W 0.5000 0.0000 0.0000  2 Tl 2.68

Properties
DOS(E_F) (states/eV per atom): 1.28
Total energy (eV per atom): -4.080
SG: P4/mmm, No. 123

VASP calculation (PBE) on a relaxed structure of TmB3H12.

a = 7.6357 Å, b = 7.6357 Å, c = 7.6357 Å
α = 59.82°, β = 59.82°, γ = 59.82°
With the nearest neighbours (Å) after each atom.
Positions (direct):
Tm 0.0000 0.0000 0.0000  12 H 2.27
Tm 0.5000 0.5000 0.5000  12 H 2.27
B 0.2476 0.7500 0.2524  4 H 1.23
B 0.2500 0.7476 0.7524  4 H 1.23
B 0.2524 0.2476 0.7500  4 H 1.23
B 0.7476 0.7523 0.2500  4 H 1.23
B 0.7500 0.2524 0.2476  4 H 1.23
B 0.7524 0.2500 0.7476  4 H 1.23
H 0.0891 0.9078 0.2847  1 B 1.23
H 0.0922 0.7153 0.9109  1 B 1.23
H 0.0951 0.2812 0.7162  1 B 1.23
H 0.2153 0.5922 0.4109  1 B 1.23
H 0.2162 0.7812 0.5951  1 B 1.23
H 0.2188 0.4049 0.7838  1 B 1.23
H 0.2812 0.7162 0.0951  1 B 1.23
H 0.2838 0.9049 0.7188  1 B 1.23
H 0.2847 0.0891 0.9078  1 B 1.23
H 0.4049 0.7838 0.2188  1 B 1.23
H 0.4078 0.5891 0.7847  1 B 1.23
H 0.4109 0.2153 0.5922  1 B 1.23
H 0.5891 0.7847 0.4078  1 B 1.23
H 0.5922 0.4109 0.2153  1 B 1.23
H 0.5951 0.2162 0.7812  1 B 1.23
H 0.7153 0.9109 0.0922  1 B 1.23
H 0.7162 0.0951 0.2812  1 B 1.23
H 0.7188 0.2838 0.9049  1 B 1.23
H 0.7812 0.5951 0.2162  1 B 1.23
H 0.7838 0.2188 0.4049  1 B 1.23
H 0.7847 0.4078 0.5891  1 B 1.23
H 0.9049 0.7188 0.2838  1 B 1.23
H 0.9078 0.2847 0.0891  1 B 1.23
H 0.9109 0.0922 0.7153  1 B 1.23

Properties
DOS(E_F) (states/eV per atom): 0.00
Total energy (eV per atom): -4.365
SG: R-3c, No. 167

VASP calculation (PBE) on a relaxed structure of TmBH.

a = 3.5884 Å, b = 3.2418 Å, c = 6.2145 Å
α = 90.00°, β = 106.77°, γ = 90.00°
With the nearest neighbours (Å) after each atom.
Positions (direct):
Tm 0.1356 0.2500 0.2696  4 H 2.15-2.23
Tm 0.8644 0.7500 0.7304  4 H 2.15-2.23
B 0.4767 0.2500 0.9519  2 B 1.72
B 0.5233 0.7500 0.0481  2 B 1.72
H 0.2539 0.7500 0.5073  4 Tm 2.15-2.23
H 0.7461 0.2500 0.4927  4 Tm 2.15-2.23

Properties
DOS(E_F) (states/eV per atom): 0.40
Total energy (eV per atom): -5.445
SG: P2_1/m, No. 11

VASP calculation (PBE) on a relaxed structure of TmB2H8.

a = 7.0827 Å, b = 7.0827 Å, c = 3.8136 Å
α = 101.32°, β = 101.32°, γ = 33.94°
With the nearest neighbours (Å) after each atom.
Positions (direct):
Tm 0.0000 0.0000 0.0000  10 H 2.26-2.50
B 0.1335 0.1335 0.5818  4 H 1.20-1.25
B 0.8665 0.8665 0.4182  4 H 1.20-1.25
H 0.1622 0.1622 0.3000  1 B 1.22
H 0.1659 0.6744 0.4126  1 B 1.25
H 0.2049 0.2049 0.8266  1 B 1.20
H 0.3256 0.8341 0.5874  1 B 1.25
H 0.6744 0.1659 0.4126  1 B 1.25
H 0.7951 0.7951 0.1734  1 B 1.20
H 0.8341 0.3256 0.5874  1 B 1.25
H 0.8378 0.8378 0.7000  1 B 1.22

Properties
DOS(E_F) (states/eV per atom): 0.11
Total energy (eV per atom): -4.266
SG: C2/m, No. 12

VASP calculation (PBE) on a relaxed structure of TmB2H8.

a = 5.5079 Å, b = 5.5079 Å, c = 7.0382 Å
α = 114.94°, β = 114.94°, γ = 85.47°
With the nearest neighbours (Å) after each atom.
Positions (direct):
Tm 0.1247 0.8753 0.7500  12 H 2.25-2.36
Tm 0.8753 0.1247 0.2500  12 H 2.25-2.36
B 0.1180 0.3689 0.7373  4 H 1.23-1.24
B 0.3689 0.1180 0.2373  4 H 1.23-1.24
B 0.6311 0.8820 0.7627  4 H 1.23-1.24
B 0.8820 0.6311 0.2627  4 H 1.23-1.24
H 0.0539 0.3110 0.8615  1 B 1.23
H 0.0843 0.5603 0.3852  1 B 1.24
H 0.1759 0.1982 0.1149  1 B 1.24
H 0.1982 0.1759 0.6149  1 B 1.24
H 0.3061 0.5510 0.8618  1 B 1.23
H 0.3110 0.0539 0.3615  1 B 1.23
H 0.4397 0.9157 0.1148  1 B 1.24
H 0.4490 0.6939 0.6382  1 B 1.23
H 0.5510 0.3061 0.3618  1 B 1.23
H 0.5603 0.0843 0.8852  1 B 1.24
H 0.6890 0.9461 0.6385  1 B 1.23
H 0.6939 0.4490 0.1382  1 B 1.23
H 0.8018 0.8241 0.3851  1 B 1.24
H 0.8241 0.8018 0.8851  1 B 1.24
H 0.9157 0.4397 0.6148  1 B 1.24
H 0.9461 0.6890 0.1385  1 B 1.23

Properties
DOS(E_F) (states/eV per atom): 0.17
Total energy (eV per atom): -4.305
SG: C2/c, No. 15